Density functional theory data (GGA-PBE) for crystalline La2ZnP at its relaxed geometry.

Geometry as POSCAR:
```
La2ZnP
1.0
-2.1674 2.1674 5.3133
2.1674 -2.1674 5.3133
2.1674 2.1674 -5.3133
La Zn P
2 1 1
direct
0.0000 0.0000 0.0000
0.7500 0.2500 0.5000
0.5000 0.5000 0.0000
0.2500 0.7500 0.5000
```

Space group: I-4m2


Density functional theory data (GGA-PBE) for crystalline La2ZnP at its relaxed geometry.

Geometry as POSCAR:
```
La2ZnP
1.0
5.5161 -2.0547 0.0000
5.5161 2.0547 0.0000
-0.5875 0.0000 4.5818
La Zn P
2 1 1
direct
0.0000 0.0000 0.0000
0.7343 0.7343 0.5560
0.4534 0.4534 0.4705
0.2769 0.2769 0.0741
```

Space group: Cm


Density functional theory data (GGA-PBE) for crystalline La2ZnP at its relaxed geometry.

Geometry as POSCAR:
```
La2ZnP
1.0
-3.9355 3.9355 3.8490
3.9355 -3.9355 3.8490
3.9355 3.9355 -3.8490
La Zn P
4 2 2
direct
0.1071 0.6250 0.9821
0.3750 0.3571 0.4821
0.6429 0.1250 0.0179
0.8750 0.8929 0.5179
0.2500 0.7500 0.5000
0.5000 0.5000 0.0000
0.0000 0.0000 0.0000
0.7500 0.2500 0.5000
```

Space group: I-42d


Density functional theory data (GGA-PBE) for crystalline LaZnP at its relaxed geometry.

Geometry as POSCAR:
```
LaZnP
1.0
-1.8442 1.8442 4.8830
1.8442 -1.8442 4.8830
1.8442 1.8442 -4.8830
La Zn P
1 1 1
direct
0.0000 0.0000 0.0000
0.6980 0.6980 0.0000
0.3222 0.3222 0.0000
```

Space group: I4mm


Number 1: formation enthalpy at 0 K -0.600 eV per atom. Number 2: formation enthalpy at 0 K -0.788 eV per atom. Number 3: formation enthalpy at 0 K -0.546 eV per atom. Number 4: formation enthalpy at 0 K -0.477 eV per atom.